No. 1
## TmTiPb (PBE)

Data for a relaxed structure of TmTiPb.

extended XYZ file:
```
6
Lattice="3.6114 0.0000 0.0000 0.0000 3.6114 0.0000 0.0000 0.0000 10.9348" Properties=species:S:1:pos:R:3 pbc="T T T"
Tm 0.0000 0.0000 0.0000
Tm 1.8057 1.8057 5.4674
Ti 0.0000 0.0000 3.6409
Ti 1.8057 1.8057 9.1083
Pb 0.0000 0.0000 7.5292
Pb 1.8057 1.8057 2.0618
```

## Properties
Final energy, eV per atom: -5.416
Space group: I4mm (107)
Polymorph energy (0 for the lowest one), kJ per mole of atoms: 21.36

No. 2
## Tm4TiPb3 (PBE)

Data for a relaxed structure of Tm4TiPb3.

extended XYZ file:
```
16
Lattice="-5.8874 5.8874 3.0090 5.8874 -5.8874 3.0090 5.8874 5.8874 -3.0090" Properties=species:S:1:pos:R:3 pbc="T T T"
Tm 9.1225 0.9380 0.0000
Tm 0.9380 2.6522 0.0000
Tm 6.8254 3.2351 0.0000
Tm 3.2351 4.9493 0.0000
Tm 2.6522 0.9380 3.0090
Tm -0.9380 2.6522 3.0090
Tm 4.9493 3.2351 3.0090
Tm -3.2351 4.9493 3.0090
Ti 5.8874 0.0000 1.5045
Ti 0.0000 5.8874 1.5045
Pb 4.0366 1.8508 0.0000
Pb 0.0000 0.0000 1.5045
Pb 4.0366 -1.8508 3.0090
Pb 1.8508 7.7382 0.0000
Pb 0.0000 0.0000 4.5134
Pb 1.8508 4.0366 3.0090
```

## Properties
Final energy, eV per atom: -4.969
Space group: I4/mcm (140)

No. 3
## TmTiPb2 (PBE)

Data for a relaxed structure of TmTiPb2.

extended XYZ file:
```
4
Lattice="4.7291 0.0000 0.0000 0.0000 4.7291 0.0000 0.0000 0.0000 4.3533" Properties=species:S:1:pos:R:3 pbc="T T T"
Tm 0.0000 0.0000 0.0000
Ti 2.3645 2.3645 0.0000
Pb 0.0000 2.3645 2.1767
Pb 2.3645 0.0000 2.1767
```

## Properties
Final energy, eV per atom: -5.006
Space group: P4/mmm (123)

No. 4
## Tm2TiPb (PBE)

Data for a relaxed structure of Tm2TiPb.

extended XYZ file:
```
4
Lattice="3.7447 0.0000 0.0000 0.0000 3.7447 0.0000 0.0000 0.0000 7.3001" Properties=species:S:1:pos:R:3 pbc="T T T"
Tm 0.0000 0.0000 1.6994
Tm 0.0000 0.0000 5.6007
Ti 1.8724 1.8724 0.0000
Pb 1.8724 1.8724 3.6500
```

## Properties
Final energy, eV per atom: -5.231
Space group: P4/mmm (123)
Polymorph energy (0 for the lowest one), kJ per mole of atoms: 1.14

No. 5
## TmTiPb (PBE)

Data for a relaxed structure of TmTiPb.

extended XYZ file:
```
6
Lattice="4.2859 0.0000 0.0000 0.0000 4.2859 0.0000 0.0000 0.0000 7.9271" Properties=species:S:1:pos:R:3 pbc="T T T"
Tm 1.0715 1.0715 1.3352
Tm 3.2144 3.2144 6.5919
Ti 1.0715 3.2144 3.9635
Ti 3.2144 1.0715 3.9635
Pb 1.0715 1.0715 6.0381
Pb 3.2144 3.2144 1.8890
```

## Properties
Final energy, eV per atom: -5.637
Space group: P4/nmm (129)
Polymorph energy (0 for the lowest one), kJ per mole of atoms: 0.00

No. 6
## TmTiPb (PBE)

Data for a relaxed structure of TmTiPb.

extended XYZ file:
```
3
Lattice="5.0308 0.0000 0.0000 -2.5154 4.3568 0.0000 0.0000 0.0000 3.3660" Properties=species:S:1:pos:R:3 pbc="T T T"
Tm 0.0000 0.0000 0.0000
Ti 2.5154 1.4523 1.6786
Pb 0.0000 2.9045 1.6851
```

## Properties
Final energy, eV per atom: -5.343
Space group: P3m1 (156)
Polymorph energy (0 for the lowest one), kJ per mole of atoms: 28.38

No. 7
## TmTiPb2 (PBE)

Data for a relaxed structure of TmTiPb2.

extended XYZ file:
```
4
Lattice="3.8134 0.0000 0.0000 0.0000 3.8134 0.0000 0.0000 0.0000 6.7856" Properties=species:S:1:pos:R:3 pbc="T T T"
Tm 0.0000 0.0000 0.0000
Ti 0.0000 0.0000 3.3928
Pb 1.9067 1.9067 1.8412
Pb 1.9067 1.9067 4.9445
```

## Properties
Final energy, eV per atom: -5.000
Space group: P4/mmm (123)

No. 8
## TmTiPb2 (PBE)

Data for a relaxed structure of TmTiPb2.

extended XYZ file:
```
12
Lattice="4.7192 0.0000 0.0000 -2.3596 4.0870 0.0000 0.0000 0.0000 15.7275" Properties=species:S:1:pos:R:3 pbc="T T T"
Tm 0.0000 0.0000 0.0000
Tm 0.0000 2.7246 10.4850
Tm 2.3596 1.3623 5.2425
Ti 0.0000 0.0000 7.8638
Ti 0.0000 2.7246 2.6213
Ti 2.3596 1.3623 13.1063
Pb 0.0000 0.0000 3.7695
Pb 0.0000 0.0000 11.9580
Pb 0.0000 2.7246 6.7155
Pb 0.0000 2.7246 14.2546
Pb 2.3596 1.3623 1.4730
Pb 2.3596 1.3623 9.0120
```

## Properties
Final energy, eV per atom: -5.025
Space group: R-3m (166)

No. 9
## Ti4VPb (PBE)

Data for a relaxed structure of Ti4VPb.

extended XYZ file:
```
6
Lattice="3.4217 0.0000 0.0000 0.0000 3.4217 0.0000 0.0000 0.0000 9.0425" Properties=species:S:1:pos:R:3 pbc="T T T"
Ti 0.0000 0.0000 1.3275
Ti 0.0000 0.0000 7.7150
Ti 1.7109 1.7109 2.8128
Ti 1.7109 1.7109 6.2297
V 1.7109 1.7109 0.0000
Pb 0.0000 0.0000 4.5213
```

## Properties
Final energy, eV per atom: -7.364
Space group: P4/mmm (123)

No. 10
## TiV3Pb (PBE)

Data for a relaxed structure of TiV3Pb.

extended XYZ file:
```
5
Lattice="4.4984 0.0000 0.0000 0.0000 4.4984 0.0000 0.0000 0.0000 4.4984" Properties=species:S:1:pos:R:3 pbc="T T T"
Ti 0.0000 0.0000 0.0000
V 0.0000 0.0000 2.2492
V 0.0000 2.2492 0.0000
V 2.2492 0.0000 0.0000
Pb 2.2492 2.2492 2.2492
```

## Properties
Final energy, eV per atom: -6.719
Space group: Pm-3m (221)
Polymorph energy (0 for the lowest one), kJ per mole of atoms: 0.00

No. 11
## Ti8VPb2 (PBE)

Data for a relaxed structure of Ti8VPb2.

extended XYZ file:
```
11
Lattice="-2.3786 3.2044 6.5785 2.3786 -3.2044 6.5785 2.3786 3.2044 -6.5785" Properties=species:S:1:pos:R:3 pbc="T T T"
Ti 0.0000 0.0000 2.0718
Ti 2.3786 1.8142 -1.5866
Ti 0.0000 1.7440 0.0000
Ti 2.3786 1.8142 1.5866
Ti 0.0000 1.3902 4.9919
Ti 0.0000 4.6648 0.0000
Ti 0.0000 1.3902 8.1651
Ti 0.0000 0.0000 11.0851
V 2.3786 0.0000 0.0000
Pb 2.3786 0.0000 3.9778
Pb 0.0000 3.2044 2.6007
```

## Properties
Final energy, eV per atom: -7.237
Space group: Immm (71)

No. 12
## TiVPb2 (PBE)

Data for a relaxed structure of TiVPb2.

extended XYZ file:
```
16
Lattice="7.6805 0.0000 0.0000 0.0000 7.6805 0.0000 0.0000 0.0000 6.1847" Properties=species:S:1:pos:R:3 pbc="T T T"
Ti 0.0000 0.0000 0.0000
Ti 0.0000 3.8402 1.5462
Ti 3.8402 0.0000 4.6385
Ti 3.8402 3.8402 3.0923
V 0.0000 0.0000 3.0923
V 0.0000 3.8402 4.6385
V 3.8402 0.0000 1.5462
V 3.8402 3.8402 0.0000
Pb 1.8675 1.9201 3.8654
Pb 1.9201 5.7077 5.4116
Pb 1.9201 5.8129 2.3193
Pb 1.9727 1.9201 0.7731
Pb 5.7077 5.7603 0.7731
Pb 5.7603 1.8675 2.3193
Pb 5.7603 1.9727 5.4116
Pb 5.8129 5.7603 3.8654
```

## Properties
Final energy, eV per atom: -5.531
Space group: I-42d (122)
Polymorph energy (0 for the lowest one), kJ per mole of atoms: 19.08

No. 13
## Ti2VPb (PBE)

Data for a relaxed structure of Ti2VPb.

extended XYZ file:
```
4
Lattice="3.3612 0.0000 0.0000 0.0000 3.3612 0.0000 0.0000 0.0000 6.2888" Properties=species:S:1:pos:R:3 pbc="T T T"
Ti 0.0000 0.0000 1.3641
Ti 0.0000 0.0000 4.9246
V 1.6806 1.6806 0.0000
Pb 1.6806 1.6806 3.1444
```

## Properties
Final energy, eV per atom: -7.158
Space group: P4/mmm (123)

No. 14
## Ti12VPb6 (PBE)

Data for a relaxed structure of Ti12VPb6.

extended XYZ file:
```
19
Lattice="5.2064 3.0059 3.9555 -5.2064 3.0059 3.9555 0.0000 -6.0118 3.9555" Properties=species:S:1:pos:R:3 pbc="T T T"
Ti -1.2988 -4.8096 5.0779
Ti -4.8146 -1.2800 6.7887
Ti -1.1398 -1.1476 3.6855
Ti -3.5158 3.5296 5.0779
Ti -0.4239 1.5608 3.6855
Ti 1.5637 -0.4133 3.6855
Ti -1.5637 0.4133 8.1811
Ti 0.4239 -1.5608 8.1811
Ti 3.5158 -3.5296 6.7887
Ti 1.1398 1.1475 8.1811
Ti 4.8146 1.2800 5.0779
Ti 1.2988 4.8096 6.7887
V 0.0000 0.0000 5.9333
Pb -2.8627 0.6388 5.3253
Pb -1.9846 -2.1598 6.5413
Pb 0.8782 -2.7986 5.3253
Pb -0.8782 2.7986 6.5413
Pb 1.9846 2.1598 5.3253
Pb 2.8627 -0.6388 6.5413
```

## Properties
Final energy, eV per atom: -6.518
Space group: R-3 (148)

No. 15
## Ti2VPb (PBE)

Data for a relaxed structure of Ti2VPb.

extended XYZ file:
```
16
Lattice="3.9338 0.0000 0.0000 0.0000 3.9338 0.0000 0.0000 0.0000 19.8710" Properties=species:S:1:pos:R:3 pbc="T T T"
Ti 0.9331 2.9503 2.4839
Ti 0.9834 0.9331 17.3872
Ti 0.9834 1.0338 7.4516
Ti 1.0338 2.9503 12.4194
Ti 2.9000 0.9834 12.4194
Ti 2.9503 2.9000 7.4516
Ti 2.9503 3.0007 17.3872
Ti 3.0007 0.9834 2.4839
V 0.0000 0.0000 0.0000
V 0.0000 1.9669 4.9678
V 1.9669 0.0000 14.9033
V 1.9669 1.9669 9.9355
Pb 0.0000 0.0000 9.9355
Pb 0.0000 1.9669 14.9033
Pb 1.9669 0.0000 4.9678
Pb 1.9669 1.9669 0.0000
```

## Properties
Final energy, eV per atom: -6.561
Space group: I-42d (122)

No. 16
## Ti2V2Pb (PBE)

Data for a relaxed structure of Ti2V2Pb.

extended XYZ file:
```
10
Lattice="7.1957 0.0000 0.0000 0.0000 7.1957 0.0000 0.0000 0.0000 3.3327" Properties=species:S:1:pos:R:3 pbc="T T T"
Ti 1.3723 2.2255 0.0000
Ti 2.2255 5.8234 0.0000
Ti 4.9702 1.3723 0.0000
Ti 5.8234 4.9702 0.0000
V 0.7278 4.3257 1.6664
V 2.8701 0.7278 1.6664
V 4.3257 6.4679 1.6664
V 6.4679 2.8701 1.6664
Pb 0.0000 0.0000 1.6664
Pb 3.5979 3.5979 1.6664
```

## Properties
Final energy, eV per atom: -7.400
Space group: P4/mbm (127)

No. 17
## Ti5VPb2 (PBE)

Data for a relaxed structure of Ti5VPb2.

extended XYZ file:
```
16
Lattice="6.1228 0.0000 0.0000 0.0000 6.1228 0.0000 0.0000 0.0000 7.7436" Properties=species:S:1:pos:R:3 pbc="T T T"
Ti 0.0000 0.0000 0.0000
Ti 1.5277 1.5277 1.9462
Ti 1.5337 1.5337 5.8180
Ti 1.5277 4.5951 1.9462
Ti 1.5337 4.5891 5.8180
Ti 3.0614 3.0614 3.8718
Ti 4.5951 1.5277 1.9462
Ti 4.5891 1.5337 5.8180
Ti 4.5951 4.5951 1.9462
Ti 4.5891 4.5891 5.8180
V 0.0000 0.0000 3.8946
V 3.0614 3.0614 0.0228
Pb 0.0000 3.0614 0.0106
Pb 0.0000 3.0614 3.8823
Pb 3.0614 0.0000 0.0106
Pb 3.0614 0.0000 3.8823
```

## Properties
Final energy, eV per atom: -6.962
Space group: I4mm (107)

No. 18
## TiVPb2 (PBE)

Data for a relaxed structure of TiVPb2.

extended XYZ file:
```
16
Lattice="6.9702 0.0000 0.0000 0.0000 6.9702 0.0000 0.0000 0.0000 6.9702" Properties=species:S:1:pos:R:3 pbc="T T T"
Ti 0.0000 0.0000 0.0000
Ti 0.0000 3.4851 3.4851
Ti 3.4851 0.0000 3.4851
Ti 3.4851 3.4851 0.0000
V 0.0000 0.0000 3.4851
V 0.0000 3.4851 0.0000
V 3.4851 0.0000 0.0000
V 3.4851 3.4851 3.4851
Pb 1.7426 1.7426 1.7426
Pb 1.7426 1.7426 5.2277
Pb 1.7426 5.2277 1.7426
Pb 1.7426 5.2277 5.2277
Pb 5.2277 1.7426 1.7426
Pb 5.2277 1.7426 5.2277
Pb 5.2277 5.2277 1.7426
Pb 5.2277 5.2277 5.2277
```

## Properties
Final energy, eV per atom: -5.729
Space group: Fm-3m (225)
Polymorph energy (0 for the lowest one), kJ per mole of atoms: 0.00

No. 19
## Ti2VPb (PBE)

Data for a relaxed structure of Ti2VPb.

extended XYZ file:
```
4
Lattice="4.3702 0.0000 0.0000 0.0000 4.3702 0.0000 0.0000 0.0000 3.6911" Properties=species:S:1:pos:R:3 pbc="T T T"
Ti 0.0000 2.1851 0.0000
Ti 2.1851 0.0000 0.0000
V 0.0000 0.0000 1.8456
Pb 2.1851 2.1851 1.8456
```

## Properties
Final energy, eV per atom: -7.072
Space group: P4/mmm (123)

No. 20
## TiV3Pb (PBE)

Data for a relaxed structure of TiV3Pb.

extended XYZ file:
```
5
Lattice="5.0418 0.0000 0.0000 0.0000 5.0418 0.0000 0.0000 0.0000 5.0418" Properties=species:S:1:pos:R:3 pbc="T T T"
Ti 0.0000 0.0000 0.0000
V 0.0000 2.5209 2.5209
V 2.5209 0.0000 2.5209
V 2.5209 2.5209 0.0000
Pb 2.5209 2.5209 2.5209
```

## Properties
Final energy, eV per atom: -5.902
Space group: Pm-3m (221)
Polymorph energy (0 for the lowest one), kJ per mole of atoms: 78.90

No. 21
## YTiV2Pb (PBE)

Data for a relaxed structure of YTiV2Pb.

extended XYZ file:
```
5
Lattice="5.1287 0.0000 0.0000 0.0000 5.1287 0.0000 0.0000 0.0000 5.6799" Properties=species:S:1:pos:R:3 pbc="T T T"
Y 0.0000 0.0000 0.0000
Ti 2.5643 2.5643 0.0000
V 0.0000 2.5643 2.8399
V 2.5643 0.0000 2.8399
Pb 0.0000 0.0000 2.8399
```

## Properties
Final energy, eV per atom: -5.790
Space group: P4/mmm (123)

No. 22
## Ti3PbW (PBE)

Data for a relaxed structure of Ti3PbW.

extended XYZ file:
```
5
Lattice="4.8271 0.0000 0.0000 0.0000 4.8271 0.0000 0.0000 0.0000 4.8271" Properties=species:S:1:pos:R:3 pbc="T T T"
Ti 0.0000 0.0000 2.4136
Ti 0.0000 2.4136 0.0000
Ti 2.4136 0.0000 0.0000
Pb 2.4136 2.4136 2.4136
W 0.0000 0.0000 0.0000
```

## Properties
Final energy, eV per atom: -7.321
Space group: Pm-3m (221)
Polymorph energy (0 for the lowest one), kJ per mole of atoms: 0.00

No. 23
## TiPb3W (PBE)

Data for a relaxed structure of TiPb3W.

extended XYZ file:
```
5
Lattice="5.3896 0.0000 0.0000 0.0000 5.3896 0.0000 0.0000 0.0000 5.3896" Properties=species:S:1:pos:R:3 pbc="T T T"
Ti 0.0000 0.0000 0.0000
Pb 0.0000 2.6948 2.6948
Pb 2.6948 0.0000 2.6948
Pb 2.6948 2.6948 0.0000
W 2.6948 2.6948 2.6948
```

## Properties
Final energy, eV per atom: -5.131
Space group: Pm-3m (221)
Polymorph energy (0 for the lowest one), kJ per mole of atoms: 0.00

No. 24
## TiPbW2 (PBE)

Data for a relaxed structure of TiPbW2.

extended XYZ file:
```
16
Lattice="3.9189 0.0000 0.0000 0.0000 3.9189 0.0000 0.0000 0.0000 20.2996" Properties=species:S:1:pos:R:3 pbc="T T T"
Ti 0.0000 0.0000 0.0000
Ti 0.0000 1.9594 5.0749
Ti 1.9594 0.0000 15.2247
Ti 1.9594 1.9594 10.1498
Pb 0.0000 0.0000 10.1498
Pb 0.0000 1.9594 15.2247
Pb 1.9594 0.0000 5.0749
Pb 1.9594 1.9594 0.0000
W 0.8785 0.9797 2.5375
W 0.9797 2.8379 7.6124
W 0.9797 3.0404 17.7622
W 1.0810 0.9797 12.6873
W 2.8379 2.9392 12.6873
W 2.9392 0.8785 17.7622
W 2.9392 1.0810 7.6124
W 3.0404 2.9392 2.5375
```

## Properties
Final energy, eV per atom: -8.462
Space group: I-42d (122)

No. 25
## Zr2TiPbW (PBE)

Data for a relaxed structure of Zr2TiPbW.

extended XYZ file:
```
5
Lattice="5.1300 0.0000 0.0000 0.0000 5.1300 0.0000 0.0000 0.0000 5.3592" Properties=species:S:1:pos:R:3 pbc="T T T"
Zr 0.0000 2.5650 0.0000
Zr 2.5650 0.0000 0.0000
Ti 0.0000 0.0000 2.6796
Pb 2.5650 2.5650 2.6796
W 2.5650 2.5650 0.0000
```

## Properties
Final energy, eV per atom: -7.271
Space group: P4/mmm (123)

No. 26
## YTi2Pb (PBE)

Data for a relaxed structure of YTi2Pb.

extended XYZ file:
```
16
Lattice="8.0496 0.0000 0.0000 0.0000 8.0496 0.0000 0.0000 0.0000 5.9810" Properties=species:S:1:pos:R:3 pbc="T T T"
Y 0.0000 0.0000 0.0000
Y 0.0000 4.0248 1.4953
Y 4.0248 0.0000 4.4858
Y 4.0248 4.0248 2.9905
Ti 1.8394 2.0124 3.7382
Ti 2.0124 5.8642 5.2334
Ti 2.0124 6.2102 2.2429
Ti 2.1854 2.0124 0.7476
Ti 5.8642 6.0372 0.7476
Ti 6.0372 1.8394 2.2429
Ti 6.0372 2.1854 5.2334
Ti 6.2102 6.0372 3.7382
Pb 0.0000 0.0000 2.9905
Pb 0.0000 4.0248 4.4858
Pb 4.0248 0.0000 1.4953
Pb 4.0248 4.0248 0.0000
```

## Properties
Final energy, eV per atom: -6.019
Space group: I-42d (122)

no.,formation enthalpy at 0 K (meV/atom),total magnetization (μB/cell)
1,-57,0.002
2,-356,1.750
3,-60,0.661
4,-94,1.973
5,-279,0.760
6,15,2.218
7,-54,1.250
8,-79,0.004
9,37,0.000
10,1072,0.000
11,8,0.002
12,577,5.313
13,-4,0.000
14,120,0.001
15,593,0.004
16,147,0.000
17,39,3.291
18,379,5.029
19,82,0.274
20,1890,7.291
21,1471,4.237
22,748,1.867
23,1264,0.053
24,915,0.000
25,1060,2.183
26,472,0.000